# 1
Li5MgTi12O24: optimized geometry, PBE.

Output
Fermi-level density of states ... 0.470 states/eV/atom
Formation energy from raw total energies ... -118.5 eV per formula unit
VASP energy ... -343.44 eV for the cell shown

```
data_Li5MgTi12O24
_symmetry_space_group_name_H-M 'P 3 m 1'
_symmetry_Int_Tables_number 156
_symmetry_space_group_name_Hall 'P 3 -2"'
_cell_length_a 5.9845
_cell_length_b 5.9845
_cell_length_c 14.7605
_cell_angle_alpha 90.00
_cell_angle_beta 90.00
_cell_angle_gamma 120.00
loop_
_atom_site_label
_atom_site_fract_x
_atom_site_fract_y
_atom_site_fract_z
Li1 0.0000 0.0000 0.0000
Li2 0.0000 0.0000 0.2407
Li3 0.3333 0.6667 0.6661
Li4 0.3333 0.6667 0.9130
Li5 0.6667 0.3333 0.5875
Mg1 0.3333 0.6667 0.2872
Ti1 0.0000 0.0000 0.6267
Ti2 0.0086 0.5043 0.1218
Ti3 0.1625 0.3250 0.4614
Ti4 0.3329 0.1665 0.7914
Ti5 0.6667 0.3333 0.3330
Ti6 0.6667 0.3333 0.9568
O1 0.0000 0.0000 0.3865
O2 0.0000 0.0000 0.8617
O3 0.0107 0.5054 0.3766
O4 0.1504 0.3009 0.7125
O5 0.1810 0.3621 0.1974
O6 0.3028 0.1514 0.5378
O7 0.3333 0.6667 0.0493
O8 0.3333 0.6667 0.5250
O9 0.3699 0.1850 0.0441
O10 0.5168 0.0337 0.8701
O11 0.6667 0.3333 0.2025
O12 0.6667 0.3333 0.7211
```

***

# 2
ErNiPb: optimized geometry, PBE.

Output
Fermi-level density of states ... 0.344 states/eV/atom
ΔH_f (0 K) ... -0.340 eV/atom
VASP energy ... -15.07 eV for the cell shown

```
data_ErNiPb
_symmetry_space_group_name_H-M 'P -6 m 2'
_symmetry_Int_Tables_number 187
_symmetry_space_group_name_Hall 'P -6 2'
_cell_length_a 4.5599
_cell_length_b 4.5599
_cell_length_c 3.5802
_cell_angle_alpha 90.00
_cell_angle_beta 90.00
_cell_angle_gamma 120.00
loop_
_atom_site_label
_atom_site_fract_x
_atom_site_fract_y
_atom_site_fract_z
Er1 0.0000 0.0000 0.0000
Ni1 0.6667 0.3333 0.5000
Pb1 0.3333 0.6667 0.5000
```

***

# 3
In2TcP: optimized geometry, PBE.

Output
Fermi-level density of states ... 0.656 states/eV/atom
ΔH_f (0 K) ... -0.094 eV/atom
VASP energy ... -21.63 eV for the cell shown

```
data_In2TcP
_symmetry_space_group_name_H-M 'P 4 m m'
_symmetry_Int_Tables_number 99
_symmetry_space_group_name_Hall 'P 4 -2'
_cell_length_a 3.0803
_cell_length_b 3.0803
_cell_length_c 8.2893
_cell_angle_alpha 90.00
_cell_angle_beta 90.00
_cell_angle_gamma 90.00
loop_
_atom_site_label
_atom_site_fract_x
_atom_site_fract_y
_atom_site_fract_z
In1 0.0000 0.0000 0.0000
In2 0.5000 0.5000 0.3425
Tc1 0.5000 0.5000 0.7515
P1 0.0000 0.0000 0.6244
```

***

# 4
RbGe3: optimized geometry, PBE.

Output
Fermi-level density of states ... 0.187 states/eV/atom
ΔH_f (0 K) ... -0.012 eV/atom
VASP energy ... -29.73 eV for the cell shown

```
data_RbGe3
_symmetry_space_group_name_H-M 'P 63/m m c'
_symmetry_Int_Tables_number 194
_symmetry_space_group_name_Hall '-P 6c 2c'
_cell_length_a 7.5150
_cell_length_b 7.5150
_cell_length_c 4.9049
_cell_angle_alpha 90.00
_cell_angle_beta 90.00
_cell_angle_gamma 120.00
loop_
_atom_site_label
_atom_site_fract_x
_atom_site_fract_y
_atom_site_fract_z
Rb1 0.3333 0.6667 0.2500
Ge1 0.1177 0.2353 0.7500
```

***

# 5
LaBe: optimized geometry, PBE.

Output
Fermi-level density of states ... 1.178 states/eV/atom
ΔH_f (0 K) ... 0.628 eV/atom
VASP energy ... -29.59 eV for the cell shown

```
data_LaBe
_symmetry_space_group_name_H-M 'F m -3 m'
_symmetry_Int_Tables_number 225
_symmetry_space_group_name_Hall '-F 4 2 3'
_cell_length_a 6.0733
_cell_length_b 6.0733
_cell_length_c 6.0733
_cell_angle_alpha 90.00
_cell_angle_beta 90.00
_cell_angle_gamma 90.00
loop_
_atom_site_label
_atom_site_fract_x
_atom_site_fract_y
_atom_site_fract_z
La1 0.0000 0.0000 0.0000
Be1 0.0000 0.0000 0.5000
```

***

# 6
CeTh4N5: optimized geometry, PBE.

Output
Fermi-level density of states ... 0.629 states/eV/atom
Formation energy from raw total energies ... -15.7 eV per formula unit
VASP energy ... -185.81 eV for the cell shown

```
data_CeTh4N5
_symmetry_space_group_name_H-M 'I 4/m'
_symmetry_Int_Tables_number 87
_symmetry_space_group_name_Hall '-I 4'
_cell_length_a 8.1498
_cell_length_b 8.1498
_cell_length_c 5.1583
_cell_angle_alpha 90.00
_cell_angle_beta 90.00
_cell_angle_gamma 90.00
loop_
_atom_site_label
_atom_site_fract_x
_atom_site_fract_y
_atom_site_fract_z
Ce1 0.0000 0.0000 0.0000
Th1 0.1007 0.2988 0.5000
N1 0.0000 0.0000 0.5000
N2 0.1005 0.2996 0.0000
```

***

# 7
Th4SbTe2Se: optimized geometry, PBE.

Output
Fermi-level density of states ... 0.852 states/eV/atom
Formation energy from raw total energies ... -8.9 eV per formula unit
VASP energy ... -52.51 eV for the cell shown

```
data_Th4SbTe2Se
_symmetry_space_group_name_H-M 'P 1 2/m 1'
_symmetry_Int_Tables_number 10
_symmetry_space_group_name_Hall '-P 2y'
_cell_length_a 7.5315
_cell_length_b 4.4752
_cell_length_c 7.7183
_cell_angle_alpha 90.00
_cell_angle_beta 110.14
_cell_angle_gamma 90.00
loop_
_atom_site_label
_atom_site_fract_x
_atom_site_fract_y
_atom_site_fract_z
Th1 0.2263 0.0000 0.2261
Th2 0.2379 0.5000 0.7630
Sb1 0.5000 0.0000 0.0000
Te1 0.0000 0.0000 0.5000
Te2 0.5000 0.5000 0.5000
Se1 0.0000 0.5000 0.0000
```

***

# 8
AlHgSb2: optimized geometry, PBE.

Output
Fermi-level density of states ... 0.457 states/eV/atom
Formation energy from raw total energies ... 0.6 eV per formula unit
VASP energy ... -23.45 eV for the cell shown

```
data_AlHgSb2
_symmetry_space_group_name_H-M 'C 1 m 1'
_symmetry_Int_Tables_number 8
_symmetry_space_group_name_Hall 'C -2y'
_cell_length_a 7.8230
_cell_length_b 3.2025
_cell_length_c 8.0378
_cell_angle_alpha 90.00
_cell_angle_beta 95.31
_cell_angle_gamma 90.00
loop_
_atom_site_label
_atom_site_fract_x
_atom_site_fract_y
_atom_site_fract_z
Al1 0.0000 0.0000 0.0000
Hg1 0.2666 0.0000 0.7846
Sb1 0.0241 0.5000 0.5198
Sb2 0.2345 0.5000 0.2245
```

***

Which calculated density belongs to each record? In order, 3.69; 11.16; 7.57; 4.20; 4.39; 11.03; 9.41; 7.80 Mg/m³.